Record 1
Density functional theory data (PBE) for an optimized crystal structure of Y2MgAlO.

Properties
Total energy ... -5.905 eV per atom
Size of the total moment ... 0.000 μB/f.u.

a b c (Å): 4.809 4.809 4.273
angles (deg): 90.00 90.00 90.00
Space group P4/mmm (No. 123)
Asymmetric unit:
Y1 0.000 0.500 0.000 x2
Mg1 0.000 0.000 0.500 x1
Al1 0.500 0.500 0.500 x1
O1 0.000 0.000 0.000 x1


Record 2
Density functional theory data (PBE) for an optimized crystal structure of YMg6AlO8.

Properties
Size of the total moment ... 0.000 μB/f.u.
Distance to the lowest polymorph of the same formula ... 0.000 eV per atom

a b c (Å): 4.441 4.441 9.072
angles (deg): 90.00 90.00 90.00
Space group P4/mmm (No. 123)
Asymmetric unit:
Y1 0.000 0.000 0.000 x1
Mg1 0.000 0.000 0.500 x1
Mg2 0.000 0.500 0.270 x4
Mg3 0.500 0.500 0.500 x1
Al1 0.500 0.500 0.000 x1
O1 0.000 0.000 0.261 x2
O2 0.000 0.500 0.000 x2
O3 0.000 0.500 0.500 x2
O4 0.500 0.500 0.274 x2


Question: Which value of size of the total moment does entry 2 give?
Answer: 0.000 μB/f.u.


Question: size of the total moment of number 2 (YMg6AlO8)?
Answer: 0.000 μB/f.u.